1.
# Y2SnC

An optimized crystal structure of Y2SnC (PBEsol, the Alexandria database).

Structure (extended XYZ):
```
4
Lattice="0.000 3.490 3.490 3.490 0.000 3.490 3.490 3.490 0.000" Properties=species:S:1:pos:R:3 pbc="T T T"
Y 1.745 1.745 1.745
Y 5.235 5.235 5.235
Sn 0.000 0.000 0.000
C 3.490 3.490 3.490
```

As for the total energy: -25.9 eV/cell. As for the magnetization: 0.00 μB per atom. The value obtained for the formation enthalpy at 0 K is 0.42 eV per atom.

2.
# InSiSb

An optimized crystal structure of InSiSb (PBEsol, the Alexandria database).

Structure (extended XYZ):
```
3
Lattice="5.133 0.000 0.000 -2.567 4.445 0.000 0.000 0.000 2.987" Properties=species:S:1:pos:R:3 pbc="T T T"
In 0.000 0.000 0.000
Si 0.000 2.964 1.487
Sb 2.567 1.482 1.493
```

As for the total energy: -12.3 eV/cell. As for the uncorrected formation energy: 0.96 eV/f.u. As for the magnetization: 0.00 μB per atom.

3.
# Li2MgRe

An optimized crystal structure of Li2MgRe (PBEsol, the Alexandria database).

Structure (extended XYZ):
```
4
Lattice="1.366 0.788 9.823 -1.366 0.788 9.823 0.000 -1.577 9.823" Properties=species:S:1:pos:R:3 pbc="T T T"
Li 0.000 0.000 7.178
Li 0.000 0.000 22.293
Mg 0.000 0.000 0.000
Re 0.000 0.000 14.735
```

As for the total energy: -18.0 eV/cell. As for the magnetization: 0.00 μB per atom. The value obtained for the formation enthalpy at 0 K is 0.25 eV per atom. For the energy above the most stable polymorph in this dataset, the calculation gives 0 kJ/mol of formula units.

4.
# SrIrRh2

An optimized crystal structure of SrIrRh2 (PBEsol, the Alexandria database).

Structure (extended XYZ):
```
4
Lattice="1.408 0.813 9.516 -1.408 0.813 9.516 0.000 -1.626 9.516" Properties=species:S:1:pos:R:3 pbc="T T T"
Sr 0.000 0.000 0.000
Ir 0.000 0.000 14.274
Rh 0.000 0.000 6.871
Rh 0.000 0.000 21.678
```

As for the total energy: -25.7 eV/cell. As for the magnetization: 0.00 μB per atom. The value obtained for the formation enthalpy at 0 K is 0.57 eV per atom. For the energy above the most stable polymorph in this dataset, the calculation gives 123 kJ/mol of formula units.

5.
# V3Cu2SnP6O24

An optimized crystal structure of V3Cu2SnP6O24 (PBEsol, the Alexandria database).

Structure (extended XYZ):
```
36
Lattice="4.268 2.464 6.929 -4.268 2.464 6.929 0.000 -4.928 6.929" Properties=species:S:1:pos:R:3 pbc="T T T"
V 0.000 0.000 0.000
V 0.000 0.000 4.509
V 0.000 0.000 14.918
Cu 0.000 0.000 7.371
Cu 0.000 0.000 17.870
Sn 0.000 0.000 10.378
P -3.073 0.318 9.169
P -1.256 -2.178 12.668
P 1.261 -2.821 9.169
P -1.258 2.176 12.668
P 1.812 2.503 9.169
P 2.514 0.002 12.668
O -3.555 1.055 7.920
O -0.883 -1.185 5.793
O -2.790 -2.390 12.622
O -3.490 1.059 10.443
O 0.864 -3.607 7.920
O -1.528 0.214 9.010
O -0.585 1.357 5.793
O -0.938 -1.465 11.351
O 0.828 -3.552 10.443
O 0.579 -1.430 9.010
O 1.468 -0.172 5.793
O -0.780 -1.402 13.894
O -0.800 1.545 11.351
O -1.475 -0.157 16.190
O 0.949 1.216 9.010
O -0.824 1.376 13.894
O 1.738 -0.080 11.351
O -0.675 3.611 12.622
O 0.873 -1.200 16.190
O 1.604 0.026 13.894
O 2.692 2.551 7.920
O 3.464 -1.221 12.622
O 0.602 1.356 16.190
O 2.662 2.493 10.443
```

As for the total energy: -275.4 eV/cell. As for the uncorrected formation energy: -72.86 eV/f.u. As for the magnetization: 0.08 μB per atom.

6.
# Mg3CuAs

An optimized crystal structure of Mg3CuAs (PBEsol, the Alexandria database).

Structure (extended XYZ):
```
5
Lattice="4.935 0.000 0.000 0.000 4.935 0.000 0.000 0.000 4.935" Properties=species:S:1:pos:R:3 pbc="T T T"
Mg 0.000 0.000 2.467
Mg 0.000 2.467 0.000
Mg 2.467 0.000 0.000
Cu 2.467 2.467 2.467
As 0.000 0.000 0.000
```

As for the total energy: -13.1 eV/cell. As for the magnetization: 0.00 μB per atom. The value obtained for the formation enthalpy at 0 K is 0.30 eV per atom. For the energy above the most stable polymorph in this dataset, the calculation gives 51 kJ/mol of formula units.

7.
# BaMo2N4

An optimized crystal structure of BaMo2N4 (PBEsol, the Alexandria database).

Structure (extended XYZ):
```
84
Lattice="10.940 0.000 0.000 0.000 10.940 0.000 0.000 0.000 10.940" Properties=species:S:1:pos:R:3 pbc="T T T"
Ba 0.000 0.000 0.000
Ba 0.000 5.470 5.470
Ba 1.407 6.877 9.533
Ba 1.407 9.533 4.063
Ba 4.063 1.407 9.533
Ba 4.063 4.063 4.063
Ba 5.470 0.000 5.470
Ba 5.470 5.470 0.000
Ba 6.877 6.877 6.877
Ba 6.877 9.533 1.407
Ba 9.533 1.407 6.877
Ba 9.533 4.063 1.407
Mo 1.093 2.173 3.802
Mo 1.093 3.297 9.272
Mo 1.668 6.563 2.173
Mo 1.668 9.847 7.643
Mo 2.173 1.668 6.563
Mo 2.173 3.802 1.093
Mo 3.297 7.138 6.563
Mo 3.297 9.272 1.093
Mo 3.802 1.093 2.173
Mo 3.802 4.377 7.643
Mo 4.377 7.643 3.802
Mo 4.377 8.767 9.272
Mo 6.563 2.173 1.668
Mo 6.563 3.297 7.138
Mo 7.138 6.563 3.297
Mo 7.138 9.847 8.767
Mo 7.643 1.668 9.847
Mo 7.643 3.802 4.377
Mo 8.767 7.138 9.847
Mo 8.767 9.272 4.377
Mo 9.272 1.093 3.297
Mo 9.272 4.377 8.767
Mo 9.847 7.643 1.668
Mo 9.847 8.767 7.138
N 0.138 0.771 2.880
N 0.138 4.699 8.350
N 0.771 2.590 5.608
N 0.771 2.880 0.138
N 1.364 1.707 8.273
N 1.364 3.763 2.803
N 1.707 8.137 6.834
N 1.707 8.273 1.364
N 2.590 5.608 0.771
N 2.590 10.801 6.241
N 2.667 6.834 3.763
N 2.667 9.576 9.233
N 2.803 1.364 3.763
N 2.803 4.106 9.233
N 2.880 0.138 0.771
N 2.880 5.331 6.241
N 3.763 2.667 6.834
N 3.763 2.803 1.364
N 4.106 7.177 8.273
N 4.106 9.233 2.803
N 4.699 8.060 5.608
N 4.699 8.350 0.138
N 5.331 6.241 2.880
N 5.331 10.169 8.350
N 5.608 0.771 2.590
N 5.608 4.699 8.060
N 6.241 2.590 10.801
N 6.241 2.880 5.331
N 6.834 1.707 8.137
N 6.834 3.763 2.667
N 7.177 8.137 9.576
N 7.177 8.273 4.106
N 8.060 5.608 4.699
N 8.060 10.801 10.169
N 8.137 6.834 1.707
N 8.137 9.576 7.177
N 8.273 1.364 1.707
N 8.273 4.106 7.177
N 8.350 0.138 4.699
N 8.350 5.331 10.169
N 9.233 2.667 9.576
N 9.233 2.803 4.106
N 9.576 7.177 8.137
N 9.576 9.233 2.667
N 10.169 8.060 10.801
N 10.169 8.350 5.331
N 10.801 6.241 2.590
N 10.801 10.169 8.060
```

As for the total energy: -770.0 eV/cell. As for the uncorrected formation energy: -4.38 eV/f.u. As for the magnetization: 0.00 μB per atom.

8.
# SiRuN2

An optimized crystal structure of SiRuN2 (PBEsol, the Alexandria database).

Structure (extended XYZ):
```
4
Lattice="1.363 0.787 5.933 -1.363 0.787 5.933 0.000 -1.574 5.933" Properties=species:S:1:pos:R:3 pbc="T T T"
Si 0.000 0.000 0.000
Ru 0.000 0.000 8.900
N 0.000 0.000 6.956
N 0.000 0.000 10.844
```

As for the total energy: -34.2 eV/cell. As for the uncorrected formation energy: -1.26 eV/f.u. As for the magnetization: 0.00 μB per atom.

9.
# Co5Rh

An optimized crystal structure of Co5Rh (PBEsol, the Alexandria database).

Structure (extended XYZ):
```
6
Lattice="2.517 0.000 0.000 0.000 3.488 0.000 0.000 0.000 7.514" Properties=species:S:1:pos:R:3 pbc="T T T"
Co 0.000 0.000 0.000
Co 0.000 0.000 2.402
Co 0.000 0.000 5.112
Co 1.258 1.744 1.199
Co 1.258 1.744 6.314
Rh 1.258 1.744 3.757
```

As for the total energy: -46.5 eV/cell. As for the magnetization: 1.45 μB per atom. The value obtained for the formation enthalpy at 0 K is 0.06 eV per atom.

10.
# LiHfPt2

An optimized crystal structure of LiHfPt2 (PBEsol, the Alexandria database).

Structure (extended XYZ):
```
4
Lattice="0.000 3.150 3.150 3.150 0.000 3.150 3.150 3.150 0.000" Properties=species:S:1:pos:R:3 pbc="T T T"
Li 0.000 0.000 0.000
Hf 3.150 3.150 3.150
Pt 1.575 1.575 1.575
Pt 4.725 4.725 4.725
```

As for the total energy: -30.0 eV/cell. As for the magnetization: 0.00 μB per atom. The value obtained for the formation enthalpy at 0 K is -0.91 eV per atom.

11.
# CaAl2H8

An optimized crystal structure of CaAl2H8 (PBEsol, the Alexandria database).

Structure (extended XYZ):
```
88
Lattice="8.581 0.000 0.000 0.000 12.637 0.000 0.000 0.000 9.191" Properties=species:S:1:pos:R:3 pbc="T T T"
Ca 1.872 1.304 0.299
Ca 1.872 5.014 4.895
Ca 2.418 7.623 0.299
Ca 2.418 11.333 4.895
Ca 6.163 1.304 4.296
Ca 6.163 5.014 8.891
Ca 6.709 7.623 4.296
Ca 6.709 11.333 8.891
Al 0.019 0.902 6.693
Al 0.019 5.416 2.098
Al 1.649 8.296 3.532
Al 1.649 10.659 8.127
Al 2.642 1.978 3.532
Al 2.642 4.341 8.127
Al 4.271 7.221 6.693
Al 4.271 11.735 2.098
Al 4.310 0.902 7.093
Al 4.310 5.416 2.498
Al 5.940 8.296 1.064
Al 5.940 10.659 5.659
Al 6.932 1.978 1.064
Al 6.932 4.341 5.659
Al 8.562 7.221 7.093
Al 8.562 11.735 2.498
H 0.059 8.353 3.763
H 0.059 10.603 8.359
H 0.623 6.727 1.334
H 0.623 12.229 5.930
H 0.783 8.191 8.132
H 0.783 10.764 3.537
H 0.940 6.780 5.834
H 0.940 12.175 1.239
H 1.162 1.808 7.414
H 1.162 4.510 2.819
H 1.823 2.777 4.688
H 1.823 3.541 0.092
H 1.976 8.845 2.045
H 1.976 10.111 6.640
H 2.086 0.416 3.536
H 2.086 5.902 8.132
H 2.204 6.735 3.536
H 2.204 12.221 8.132
H 2.314 2.526 2.045
H 2.314 3.792 6.640
H 2.468 9.096 4.688
H 2.468 9.860 0.092
H 3.129 8.127 7.414
H 3.129 10.829 2.819
H 3.351 0.462 5.834
H 3.351 5.857 1.239
H 3.508 1.873 8.132
H 3.508 4.446 3.537
H 3.668 0.408 1.334
H 3.668 5.910 5.930
H 4.232 2.034 3.763
H 4.232 4.284 8.359
H 4.349 8.353 0.832
H 4.349 10.603 5.428
H 4.914 6.727 3.261
H 4.914 12.229 7.856
H 5.074 8.191 5.654
H 5.074 10.764 1.059
H 5.230 6.780 7.952
H 5.230 12.175 3.357
H 5.453 1.808 6.372
H 5.453 4.510 1.777
H 6.113 2.777 9.098
H 6.113 3.541 4.503
H 6.267 8.845 2.551
H 6.267 10.111 7.146
H 6.377 0.416 1.059
H 6.377 5.902 5.654
H 6.495 6.735 1.059
H 6.495 12.221 5.654
H 6.605 2.526 2.551
H 6.605 3.792 7.146
H 6.759 9.096 9.098
H 6.759 9.860 4.503
H 7.420 8.127 6.372
H 7.420 10.829 1.777
H 7.642 0.462 7.952
H 7.642 5.857 3.357
H 7.799 1.873 5.654
H 7.799 4.446 1.059
H 7.959 0.408 3.261
H 7.959 5.910 7.856
H 8.523 2.034 0.832
H 8.523 4.284 5.428
```

As for the total energy: -305.0 eV/cell. As for the magnetization: 0.00 μB per atom. For the energy above the most stable polymorph in this dataset, the calculation gives 33 kJ/mol of formula units.

12.
# Mg2TeOs

An optimized crystal structure of Mg2TeOs (PBEsol, the Alexandria database).

Structure (extended XYZ):
```
4
Lattice="1.561 -2.608 0.000 1.561 2.608 0.000 0.000 0.000 10.115" Properties=species:S:1:pos:R:3 pbc="T T T"
Mg 0.000 0.000 0.000
Mg 1.561 0.000 2.709
Te 1.561 0.000 7.012
Os 0.000 0.000 4.884
```

As for the total energy: -17.3 eV/cell. As for the uncorrected formation energy: 1.91 eV/f.u. As for the magnetization: 0.00 μB per atom.